Computed, not measured: an optimized crystal structure of Al3ReNi at the PBE level of DFT.

Structure (extended XYZ):
```
5
Lattice="-0.243 -4.428 -1.596 4.164 0.542 -2.139 2.193 -1.520 3.884" Properties=species:S:1:pos:R:3 pbc="T T T"
Re 0.000 0.000 0.000
Al 1.097 -0.760 1.942
Al -0.121 -2.214 -0.798
Al 2.082 0.271 -1.070
Ni 3.057 -2.703 0.075
```

Output
Formation energy: 0.75 eV per atom
DFT total energy: -25.728 eV/f.u.
Volume: 105 Å³/f.u.
Relative energy among the computed polymorphs: 0.186 eV/atom
Calculated density: 5.2 g/cm³
Symmetry: Pm-3m (221)